(1)
LaV2H8 | GGA-PBE | optimized geometry

```
LaV2H8
1.0
-3.862 -3.017 -0.386
2.631 -3.517 1.181
-2.181 2.383 3.201
La V H
1 2 8
Direct
0.058 0.997 0.997
0.574 0.664 0.330
0.574 0.330 0.664
0.329 0.997 0.537
0.329 0.537 0.997
0.648 0.742 0.742
0.931 0.331 0.664
0.931 0.664 0.331
0.329 0.457 0.457
0.649 0.252 0.997
0.649 0.997 0.252
```

Computed properties:
Raw total energy ... -53.066 eV per cell
SG ... P31m, No. 157

***

(2)
LaV3H | GGA-PBE | optimized geometry

```
LaV3H
1.0
4.215 0.000 0.000
0.000 4.215 0.000
0.000 0.000 4.215
H La V
1 1 3
Direct
0.000 0.000 0.000
0.500 0.500 0.500
0.000 0.500 0.000
0.000 0.000 0.500
0.500 0.000 0.000
```

Computed properties:
E above lowest polymorph ... 0 meV per atom
Raw total energy ... -32.601 eV per cell
SG ... Pm-3m, No. 221

***

(3)
LaV2H | GGA-PBE | optimized geometry

```
LaV2H
1.0
-5.547 0.636 -0.804
0.339 -3.036 -4.742
-3.289 -4.536 -0.687
H La V
2 2 4
Direct
0.500 0.500 0.000
0.250 0.750 0.500
0.000 0.000 0.000
0.750 0.250 0.500
0.375 0.125 0.250
0.375 0.625 0.250
0.375 0.625 0.750
0.875 0.625 0.750
```

Computed properties:
Raw total energy ... -51.676 eV per cell
SG ... Fd-3m, No. 227

***

(4)
LaV3H | GGA-PBE | optimized geometry

```
LaV3H
1.0
-0.732 -2.427 -3.785
-3.090 -2.515 2.210
-3.266 2.923 -1.242
H La V
1 1 3
Direct
0.500 0.500 0.500
0.000 0.000 0.000
0.000 0.500 0.000
0.000 0.000 0.500
0.500 0.000 0.000
```

Computed properties:
E above lowest polymorph ... 1737 meV per atom
Raw total energy ... -23.914 eV per cell
SG ... Pm-3m, No. 221

***

(5)
LaVH | GGA-PBE | optimized geometry

```
LaVH
1.0
-1.168 -2.219 1.781
5.189 -1.515 4.173
-3.720 5.639 7.241
H V La
4 4 4
Direct
0.182 0.500 0.636
0.318 0.500 0.364
0.568 0.000 0.864
0.432 0.000 0.136
0.623 0.500 0.754
0.877 0.500 0.246
0.127 0.000 0.746
0.873 0.000 0.254
0.881 0.238 0.500
0.619 0.762 0.500
0.869 0.262 0.000
0.131 0.738 0.000
```

Computed properties:
Raw total energy ... -64.853 eV per cell
SG ... Fddd, No. 70

***

(6)
LaHW2 | GGA-PBE | optimized geometry

```
LaHW2
1.0
5.835 0.000 0.000
0.000 5.835 0.000
2.917 2.917 4.124
H W La
2 4 2
Direct
0.500 0.500 0.000
0.250 0.750 0.500
0.375 0.125 0.250
0.375 0.625 0.250
0.375 0.625 0.750
0.875 0.625 0.750
0.000 0.000 0.000
0.750 0.250 0.500
```

Computed properties:
E above lowest polymorph ... 0 meV per atom
Raw total energy ... -65.279 eV per cell
SG ... Fd-3m, No. 227

***

(7)
La2HW | GGA-PBE | optimized geometry

```
La2HW
1.0
-0.231 -1.234 5.374
3.166 -4.434 -0.882
7.021 0.912 3.345
H W La
2 2 4
Direct
0.500 0.500 0.000
0.250 0.750 0.500
0.000 0.000 0.000
0.750 0.250 0.500
0.583 0.125 0.250
0.167 0.625 0.250
0.375 0.417 0.750
0.875 0.833 0.750
```

Computed properties:
E above lowest polymorph ... 87 meV per atom
Raw total energy ... -46.525 eV per cell
SG ... I-42d, No. 122

***

(8)
La3HW | GGA-PBE | optimized geometry

```
La3HW
1.0
-3.132 1.677 3.385
-3.411 0.635 -3.470
-1.624 -4.567 0.761
H W La
1 1 3
Direct
0.000 0.000 0.000
0.500 0.500 0.500
0.000 0.500 0.000
0.000 0.000 0.500
0.500 0.000 0.000
```

Computed properties:
E above lowest polymorph ... 0 meV per atom
Raw total energy ... -29.157 eV per cell
SG ... Pm-3m, No. 221